Sc2Sn2Rh: relaxed, PBE.

Results
For the energy relative to the elements, the calculation gives -636 meV per atom. Its magnetic moment is 0.000 μB per formula unit. As for the crystal system: tetragonal.

```
data_Sc2Sn2Rh
_cell_length_a 6.9494
_cell_length_b 6.9494
_cell_length_c 4.4131
_cell_angle_alpha 90.00
_cell_angle_beta 90.00
_cell_angle_gamma 90.00
_space_group_name_H-M_alt 'P 4/m b m'
_space_group_IT_number 127
_space_group_name_Hall '-P 4 2ab'
loop_
_atom_site_label
_atom_site_fract_x
_atom_site_fract_y
_atom_site_fract_z
Sc1 0.1653 0.3347 0.0000
Sn1 0.1457 0.6457 0.5000
Rh1 0.0000 0.0000 0.5000
```

=====

Sc2Sn2Rh3: relaxed, PBE.

Results
For the energy relative to the elements, the calculation gives -721 meV per atom. Its magnetic moment is 0.000 μB per formula unit. As for the crystal system: monoclinic.

```
data_Sc2Sn2Rh3
_cell_length_a 7.9431
_cell_length_b 4.5969
_cell_length_c 7.6745
_cell_angle_alpha 90.00
_cell_angle_beta 110.15
_cell_angle_gamma 90.00
_space_group_name_H-M_alt 'C 1 2/m 1'
_space_group_IT_number 12
loop_
_space_group_symop_operation_xyz
'x,y,z'
'-x,-y,-z'
'-x,y,-z'
'x,-y,z'
'x+1/2,y+1/2,z'
'-x+1/2,-y+1/2,-z'
'-x+1/2,y+1/2,-z'
'x+1/2,-y+1/2,z'
loop_
_atom_site_label
_atom_site_fract_x
_atom_site_fract_y
_atom_site_fract_z
Sc1 0.1264 0.0000 0.3786
Sn1 0.1128 0.5000 0.8385
Rh1 0.0000 0.0000 0.0000
Rh2 0.2453 0.5000 0.2351
```

=====

Sc2SnRh: relaxed, PBE.

Results
For the energy relative to the elements, the calculation gives -722 meV per atom. Its magnetic moment is 0.000 μB per formula unit. As for the crystal system: tetragonal.

```
data_Sc2SnRh
_cell_length_a 4.5373
_cell_length_b 4.5373
_cell_length_c 3.7939
_cell_angle_alpha 90.00
_cell_angle_beta 90.00
_cell_angle_gamma 90.00
_space_group_name_H-M_alt 'P 4/m m m'
_space_group_IT_number 123
_space_group_name_Hall '-P 4 2'
loop_
_atom_site_label
_atom_site_fract_x
_atom_site_fract_y
_atom_site_fract_z
Sc1 0.0000 0.5000 0.0000
Sn1 0.0000 0.0000 0.5000
Rh1 0.5000 0.5000 0.5000
```